Below is a relaxed structure of NaCePd6, with properties calculated at the PBE level.

Cell and atoms, written as POSCAR:
```
NaCePd6
1.0
5.829 0.000 0.000
-2.915 5.048 0.000
0.000 0.000 4.681
Na Ce Pd
1 1 6
direct
0.000 0.000 0.000
0.667 0.333 0.500
0.006 0.503 0.000
0.169 0.338 0.500
0.169 0.831 0.500
0.497 0.503 0.000
0.497 0.994 0.000
0.662 0.831 0.500
```

As for the energy relative to the elements: -430 meV per atom. The space group is P-6m2, No. 187. For the total energy, the calculation gives -41.8 eV/f.u.

Below is a relaxed structure of NaCePd4, with properties calculated at the PBE level.

Cell and atoms, written as POSCAR:
```
NaCePd4
1.0
0.000 3.839 3.839
3.839 0.000 3.839
3.839 3.839 0.000
Na Ce Pd
1 1 4
direct
0.000 0.000 0.000
0.250 0.250 0.250
0.125 0.625 0.625
0.625 0.125 0.625
0.625 0.625 0.125
0.625 0.625 0.625
```

As for the energy relative to the elements: -524 meV per atom. The space group is F-43m, No. 216. For the total energy, the calculation gives -31.2 eV/f.u.

Below is a relaxed structure of NaCePdPt, with properties calculated at the PBE level.

Cell and atoms, written as POSCAR:
```
NaCePdPt
1.0
0.000 3.464 3.464
3.464 0.000 3.464
3.464 3.464 0.000
Na Ce Pd Pt
1 1 1 1
direct
0.000 0.000 0.000
0.500 0.500 0.500
0.250 0.250 0.250
0.750 0.750 0.750
```

As for the energy relative to the elements: -548 meV per atom. The space group is F-43m, No. 216. For the total energy, the calculation gives -20.7 eV/f.u.

Below is a relaxed structure of Na2Ce2PdS6, with properties calculated at the PBE level.

Cell and atoms, written as POSCAR:
```
Na2Ce2PdS6
1.0
3.405 -5.838 0.000
3.405 5.838 0.000
-2.048 0.000 6.753
Na Ce Pd S
2 2 1 6
direct
0.162 0.838 0.000
0.838 0.162 0.000
0.330 0.670 0.500
0.670 0.330 0.500
0.000 0.000 0.500
0.075 0.407 0.726
0.229 0.229 0.296
0.407 0.075 0.726
0.593 0.925 0.274
0.771 0.771 0.704
0.925 0.593 0.274
```

The space group is C2/m, No. 12. For the total energy, the calculation gives -58.5 eV/f.u. For the energy relative to the elements, uncorrected, the calculation gives -1.279 eV/atom.

Below is a relaxed structure of Na4Ce3PdS8, with properties calculated at the PBE level.

Cell and atoms, written as POSCAR:
```
Na4Ce3PdS8
1.0
7.183 -3.918 0.000
7.183 3.918 0.000
-4.414 0.000 6.721
Na Ce Pd S
4 3 1 8
direct
0.000 0.000 0.000
0.000 0.500 0.000
0.500 0.000 0.000
0.500 0.500 0.000
0.000 0.000 0.500
0.000 0.500 0.500
0.500 0.000 0.500
0.500 0.500 0.500
0.222 0.222 0.238
0.237 0.237 0.733
0.264 0.710 0.704
0.290 0.736 0.296
0.710 0.264 0.704
0.736 0.290 0.296
0.763 0.763 0.267
0.778 0.778 0.762
```

The space group is C2/m, No. 12. For the total energy, the calculation gives -84.5 eV/f.u. For the energy relative to the elements, uncorrected, the calculation gives -1.451 eV/atom.

Below is a relaxed structure of Na3Ce3PdS8, with properties calculated at the PBE level.

Cell and atoms, written as POSCAR:
```
Na3Ce3PdS8
1.0
6.876 -3.985 0.000
6.876 3.985 0.000
-4.624 0.000 6.698
Na Ce Pd S
3 3 1 8
direct
0.000 0.000 0.000
0.000 0.500 0.000
0.500 0.000 0.000
0.000 0.500 0.500
0.500 0.000 0.500
0.500 0.500 0.500
0.000 0.000 0.500
0.219 0.219 0.707
0.236 0.748 0.721
0.252 0.764 0.279
0.254 0.254 0.265
0.746 0.746 0.735
0.748 0.236 0.721
0.764 0.252 0.279
0.781 0.781 0.293
```

The space group is C2/m, No. 12. For the total energy, the calculation gives -81.1 eV/f.u. For the energy relative to the elements, uncorrected, the calculation gives -1.408 eV/atom.

Q: Which of these has the highest total energy?
A: NaCePdPt

Q: Which formula does entry 6 have?
A: Na3Ce3PdS8